No. 1
Compound: K2TlCd2O4
Source: the Alexandria database
Functional: PBE-GGA
Structure: relaxed

Results
E_form (uncorrected), eV/atom: -0.9718
Fermi-level density of states, states/eV per cell: 1.475

The structure in POSCAR format:
```
K2TlCd2O4
1.0
3.596 0.000 0.000
-1.798 8.616 2.087
0.000 -1.195 6.238
O Cd K Tl
4 2 2 1
Direct
0.579 0.158 0.887
0.228 0.457 0.223
0.421 0.842 0.113
0.772 0.543 0.777
0.320 0.640 0.927
0.680 0.360 0.073
0.837 0.673 0.386
0.163 0.327 0.614
0.000 0.000 0.000
```

No. 2
Compound: Fe2Ni2Ir3
Source: the Alexandria database
Functional: PBE-GGA
Structure: relaxed

Results
Fermi-level density of states, states/eV per cell: 9.603
ΔH_f (0 K), eV/atom: 0.105

The structure in POSCAR format:
```
Fe2Ni2Ir3
1.0
3.868 -0.017 -1.238
-2.117 3.466 -0.014
0.081 0.070 6.905
Ir Fe Ni
3 2 2
Direct
0.733 0.867 0.600
0.267 0.133 0.400
0.000 0.000 0.000
0.465 0.733 0.198
0.535 0.267 0.802
0.799 0.399 0.198
0.201 0.601 0.802
```